[1]
This record from the Open Quantum Materials Database describes Tc2W after structural relaxation. The functional is GGA-PBE.

Unit cell a=4.222 b=4.222 c=4.222 alpha=60.00 beta=60.00 gamma=60.00
Atoms (fractional coordinates):
Tc  0.250  0.250  0.250
Tc  0.750  0.750  0.750
W  0.000  0.000  0.000

Calculated values
* formation energy: 0.70 eV per atom
* ΔE to the lowest computed polymorph: 491.5 meV per atom
* raw total energy: -31.57 eV/f.u.
* symmetry: Fm-3m, No. 225
* V: 53.2 Å³/cell


[2]
This record from the Open Quantum Materials Database describes Tc2W after structural relaxation. The functional is GGA-PBE.

Unit cell a=7.706 b=7.706 c=7.706 alpha=60.00 beta=60.00 gamma=60.00
Atoms (fractional coordinates):
Tc  0.000  0.000  0.000
Tc  0.000  0.000  0.500
Tc  0.000  0.500  0.000
Tc  0.500  0.000  0.000
W  0.125  0.125  0.125
W  0.875  0.875  0.875

Calculated values
* formation energy: 3.64 eV per atom
* ΔE to the lowest computed polymorph: 3422.4 meV per atom
* raw total energy: -22.78 eV/f.u.
* symmetry: Fd-3m, No. 227
* V: 323.5 Å³/cell


[3]
This record from the Open Quantum Materials Database describes Tc2W after structural relaxation. The functional is GGA-PBE.

Unit cell a=5.076 b=5.076 c=5.076 alpha=60.00 beta=60.00 gamma=60.00
Atoms (fractional coordinates):
Tc  0.000  0.000  0.000
Tc  0.000  0.000  0.500
Tc  0.000  0.500  0.000
Tc  0.500  0.000  0.000
W  0.375  0.375  0.375
W  0.625  0.625  0.625

Calculated values
* formation energy: 0.21 eV per atom
* ΔE to the lowest computed polymorph: 0.0 meV per atom
* raw total energy: -33.04 eV/f.u.
* symmetry: Fd-3m, No. 227
* V: 92.5 Å³/cell


[4]
This record from the Open Quantum Materials Database describes TcW2 after structural relaxation. The functional is GGA-PBE.

Unit cell a=4.272 b=4.272 c=4.272 alpha=60.00 beta=60.00 gamma=60.00
Atoms (fractional coordinates):
Tc  0.000  0.000  0.000
W  0.250  0.250  0.250
W  0.750  0.750  0.750

Calculated values
* formation energy: 0.83 eV per atom
* ΔE to the lowest computed polymorph: 380.3 meV per atom
* raw total energy: -33.79 eV/f.u.
* symmetry: Fm-3m, No. 225
* V: 55.1 Å³/cell


[5]
This record from the Open Quantum Materials Database describes YTcW2 after structural relaxation. The functional is GGA-PBE.

Unit cell a=4.632 b=4.632 c=4.632 alpha=60.00 beta=60.00 gamma=60.00
Atoms (fractional coordinates):
Y  0.000  0.000  0.000
Tc  0.750  0.750  0.750
W  0.250  0.250  0.250
W  0.500  0.500  0.500

Calculated values
* formation energy: 0.33 eV per atom
* raw total energy: -41.44 eV/f.u.
* symmetry: F-43m, No. 216
* V: 70.3 Å³/cell


[6]
This record from the Open Quantum Materials Database describes ZnTcW2 after structural relaxation. The functional is GGA-PBE.

Unit cell a=4.420 b=4.420 c=4.420 alpha=60.00 beta=60.00 gamma=60.00
Atoms (fractional coordinates):
Zn  0.000  0.000  0.000
Tc  0.250  0.250  0.250
W  0.500  0.500  0.500
W  0.750  0.750  0.750

Calculated values
* formation energy: 0.26 eV per atom
* raw total energy: -36.52 eV/f.u.
* symmetry: F-43m, No. 216
* V: 61.1 Å³/cell


[7]
This record from the Open Quantum Materials Database describes ZrTc2W after structural relaxation. The functional is GGA-PBE.

Unit cell a=4.532 b=4.532 c=3.195 alpha=90.00 beta=90.00 gamma=90.00
Atoms (fractional coordinates):
Zr  0.000  0.000  0.000
Tc  0.000  0.500  0.500
Tc  0.500  0.000  0.500
W  0.500  0.500  0.000

Calculated values
* formation energy: -0.23 eV per atom
* ΔE to the lowest computed polymorph: 32.0 meV per atom
* raw total energy: -43.14 eV/f.u.
* symmetry: P4/mmm, No. 123
* V: 65.6 Å³/cell


[8]
This record from the Open Quantum Materials Database describes ZrTc2W after structural relaxation. The functional is GGA-PBE.

Unit cell a=3.191 b=3.191 c=6.477 alpha=90.00 beta=90.00 gamma=90.00
Atoms (fractional coordinates):
Zr  0.000  0.000  0.000
Tc  0.500  0.500  0.264
Tc  0.500  0.500  0.736
W  0.000  0.000  0.500

Calculated values
* formation energy: -0.24 eV per atom
* ΔE to the lowest computed polymorph: 17.1 meV per atom
* raw total energy: -43.20 eV/f.u.
* symmetry: P4/mmm, No. 123
* V: 66.0 Å³/cell


[9]
This record from the Open Quantum Materials Database describes ZrTc2W after structural relaxation. The functional is GGA-PBE.

Unit cell a=10.220 b=4.692 c=5.619 alpha=90.00 beta=90.00 gamma=90.00
Atoms (fractional coordinates):
Zr  0.070  0.250  0.162
Zr  0.430  0.750  0.662
Zr  0.570  0.250  0.338
Zr  0.930  0.750  0.838
Tc  0.170  0.750  0.474
Tc  0.185  0.750  0.003
Tc  0.315  0.250  0.503
Tc  0.330  0.250  0.974
Tc  0.670  0.750  0.026
Tc  0.685  0.750  0.497
Tc  0.815  0.250  0.997
Tc  0.830  0.250  0.526
W  0.076  0.250  0.656
W  0.424  0.750  0.156
W  0.576  0.250  0.844
W  0.924  0.750  0.344

Calculated values
* formation energy: 0.08 eV per atom
* ΔE to the lowest computed polymorph: 344.7 meV per atom
* raw total energy: -41.89 eV/f.u.
* symmetry: Pnma, No. 62
* V: 269.5 Å³/cell


[10]
This record from the Open Quantum Materials Database describes ZrTc2W after structural relaxation. The functional is GGA-PBE.

Unit cell a=4.529 b=4.529 c=4.529 alpha=60.00 beta=60.00 gamma=60.00
Atoms (fractional coordinates):
Zr  0.000  0.000  0.000
Tc  0.250  0.250  0.250
Tc  0.750  0.750  0.750
W  0.500  0.500  0.500

Calculated values
* formation energy: -0.26 eV per atom
* ΔE to the lowest computed polymorph: 0.0 meV per atom
* raw total energy: -43.27 eV/f.u.
* symmetry: Fm-3m, No. 225
* V: 65.7 Å³/cell


[11]
This record from the Open Quantum Materials Database describes ZrTc2W after structural relaxation. The functional is GGA-PBE.

Unit cell a=4.532 b=4.532 c=3.196 alpha=90.00 beta=90.00 gamma=90.00
Atoms (fractional coordinates):
Zr  0.000  0.000  0.000
Tc  0.000  0.500  0.500
Tc  0.500  0.000  0.500
W  0.500  0.500  0.000

Calculated values
* formation energy: -0.23 eV per atom
* ΔE to the lowest computed polymorph: 31.5 meV per atom
* raw total energy: -43.14 eV/f.u.
* symmetry: P4/mmm, No. 123
* V: 65.6 Å³/cell


[12]
This record from the Open Quantum Materials Database describes YTc2 after structural relaxation. The functional is GGA-PBE.

Unit cell a=8.894 b=8.894 c=8.894 alpha=60.00 beta=60.00 gamma=60.00
Atoms (fractional coordinates):
Y  0.125  0.125  0.125
Y  0.875  0.875  0.875
Tc  0.000  0.000  0.000
Tc  0.000  0.000  0.500
Tc  0.000  0.500  0.000
Tc  0.500  0.000  0.000

Calculated values
* formation energy: 3.50 eV per atom
* ΔE to the lowest computed polymorph: 3646.8 meV per atom
* raw total energy: -16.67 eV/f.u.
* symmetry: Fd-3m, No. 227
* V: 497.4 Å³/cell


[13]
This record from the Open Quantum Materials Database describes YTc2 after structural relaxation. The functional is GGA-PBE.

Unit cell a=5.398 b=5.398 c=5.398 alpha=60.00 beta=60.00 gamma=60.00
Atoms (fractional coordinates):
Y  0.125  0.125  0.125
Y  0.875  0.875  0.875
Tc  0.000  0.500  0.500
Tc  0.500  0.000  0.500
Tc  0.500  0.500  0.000
Tc  0.500  0.500  0.500

Calculated values
* formation energy: -0.14 eV per atom
* ΔE to the lowest computed polymorph: 0.0 meV per atom
* raw total energy: -27.61 eV/f.u.
* symmetry: Fd-3m, No. 227
* V: 111.2 Å³/cell


[14]
This record from the Open Quantum Materials Database describes YTc after structural relaxation. The functional is GGA-PBE.

Unit cell a=3.367 b=3.367 c=4.297 alpha=90.00 beta=90.00 gamma=120.00
Atoms (fractional coordinates):
Y  0.000  0.000  0.000
Tc  0.333  0.667  0.500

Calculated values
* formation energy: 0.51 eV per atom
* raw total energy: -15.81 eV/f.u.
* symmetry: P-6m2, No. 187
* V: 42.2 Å³/cell


[15]
This record from the Open Quantum Materials Database describes YZnTc2 after structural relaxation. The functional is GGA-PBE.

Unit cell a=4.594 b=4.594 c=4.594 alpha=60.00 beta=60.00 gamma=60.00
Atoms (fractional coordinates):
Y  0.000  0.000  0.000
Zn  0.250  0.250  0.250
Tc  0.500  0.500  0.500
Tc  0.750  0.750  0.750

Calculated values
* formation energy: 0.11 eV per atom
* raw total energy: -28.00 eV/f.u.
* symmetry: F-43m, No. 216
* V: 68.6 Å³/cell


[16]
This record from the Open Quantum Materials Database describes Y2ZrTc after structural relaxation. The functional is GGA-PBE.

Unit cell a=5.051 b=5.051 c=5.051 alpha=60.00 beta=60.00 gamma=60.00
Atoms (fractional coordinates):
Y  0.000  0.000  0.000
Y  0.250  0.250  0.250
Zr  0.750  0.750  0.750
Tc  0.500  0.500  0.500

Calculated values
* formation energy: 0.20 eV per atom
* raw total energy: -31.02 eV/f.u.
* symmetry: F-43m, No. 216
* V: 91.1 Å³/cell


[17]
This record from the Open Quantum Materials Database describes Zn3Tc after structural relaxation. The functional is GGA-PBE.

Unit cell a=4.314 b=4.314 c=4.314 alpha=60.00 beta=60.00 gamma=60.00
Atoms (fractional coordinates):
Zn  0.000  0.000  0.000
Zn  0.250  0.250  0.250
Zn  0.750  0.750  0.750
Tc  0.500  0.500  0.500

Calculated values
* formation energy: 0.18 eV per atom
* raw total energy: -13.45 eV/f.u.
* symmetry: Fm-3m, No. 225
* V: 56.8 Å³/cell


[18]
This record from the Open Quantum Materials Database describes Zn4Tc3 after structural relaxation. The functional is GGA-PBE.

Unit cell a=7.247 b=7.247 c=4.477 alpha=90.00 beta=90.00 gamma=120.00
Atoms (fractional coordinates):
Zn  0.085  0.471  0.250
Zn  0.333  0.667  0.750
Zn  0.386  0.915  0.250
Zn  0.471  0.386  0.750
Zn  0.529  0.614  0.250
Zn  0.614  0.085  0.750
Zn  0.667  0.333  0.250
Zn  0.915  0.529  0.750
Tc  0.033  0.222  0.750
Tc  0.188  0.967  0.750
Tc  0.222  0.188  0.250
Tc  0.778  0.812  0.750
Tc  0.812  0.033  0.250
Tc  0.967  0.778  0.250

Calculated values
* formation energy: 0.11 eV per atom
* ΔE to the lowest computed polymorph: 54.0 meV per atom
* raw total energy: -35.37 eV/f.u.
* symmetry: P6_3/m, No. 176
* V: 203.7 Å³/cell


[19]
This record from the Open Quantum Materials Database describes ZnTc2 after structural relaxation. The functional is GGA-PBE.

Unit cell a=5.118 b=5.118 c=5.118 alpha=60.00 beta=60.00 gamma=60.00
Atoms (fractional coordinates):
Zn  0.125  0.125  0.125
Zn  0.875  0.875  0.875
Tc  0.000  0.500  0.500
Tc  0.500  0.000  0.500
Tc  0.500  0.500  0.000
Tc  0.500  0.500  0.500

Calculated values
* formation energy: 0.43 eV per atom
* ΔE to the lowest computed polymorph: 475.7 meV per atom
* raw total energy: -20.68 eV/f.u.
* symmetry: Fd-3m, No. 227
* V: 94.8 Å³/cell


[20]
This record from the Open Quantum Materials Database describes ZnTc2 after structural relaxation. The functional is GGA-PBE.

Unit cell a=5.055 b=5.055 c=5.055 alpha=144.61 beta=144.61 gamma=50.92
Atoms (fractional coordinates):
Zn  0.000  0.000  0.000
Tc  0.326  0.326  0.000
Tc  0.674  0.674  0.000

Calculated values
* formation energy: -0.04 eV per atom
* ΔE to the lowest computed polymorph: 0.0 meV per atom
* raw total energy: -22.11 eV/f.u.
* symmetry: I4/mmm, No. 139
* V: 43.1 Å³/cell


[21]
This record from the Open Quantum Materials Database describes Zn3Tc after structural relaxation. The functional is GGA-PBE.

Unit cell a=4.217 b=5.250 c=5.048 alpha=90.00 beta=90.00 gamma=90.00
Atoms (fractional coordinates):
Zn  0.250  0.000  0.150
Zn  0.250  0.250  0.679
Zn  0.250  0.500  0.150
Zn  0.750  0.000  0.850
Zn  0.750  0.500  0.850
Zn  0.750  0.750  0.321
Tc  0.250  0.750  0.631
Tc  0.750  0.250  0.369

Calculated values
* formation energy: 0.07 eV per atom
* raw total energy: -13.87 eV/f.u.
* symmetry: Pmmn, No. 59
* V: 111.8 Å³/cell


[22]
This record from the Open Quantum Materials Database describes ZnTc2 after structural relaxation. The functional is GGA-PBE.

Unit cell a=8.029 b=8.029 c=8.029 alpha=60.00 beta=60.00 gamma=60.00
Atoms (fractional coordinates):
Zn  0.125  0.125  0.125
Zn  0.875  0.875  0.875
Tc  0.000  0.000  0.000
Tc  0.000  0.000  0.500
Tc  0.000  0.500  0.000
Tc  0.500  0.000  0.000

Calculated values
* formation energy: 3.39 eV per atom
* ΔE to the lowest computed polymorph: 3436.2 meV per atom
* raw total energy: -11.80 eV/f.u.
* symmetry: Fd-3m, No. 227
* V: 366.0 Å³/cell


[23]
This record from the Open Quantum Materials Database describes Zn4Tc3 after structural relaxation. The functional is GGA-PBE.

Unit cell a=7.268 b=7.268 c=4.364 alpha=90.00 beta=90.00 gamma=120.00
Atoms (fractional coordinates):
Zn  0.042  0.233  0.250
Zn  0.191  0.958  0.250
Zn  0.233  0.191  0.750
Zn  0.333  0.667  0.250
Zn  0.667  0.333  0.750
Zn  0.767  0.809  0.250
Zn  0.809  0.042  0.750
Zn  0.958  0.767  0.750
Tc  0.092  0.490  0.750
Tc  0.398  0.908  0.750
Tc  0.490  0.398  0.250
Tc  0.510  0.602  0.750
Tc  0.602  0.092  0.250
Tc  0.908  0.510  0.250

Calculated values
* formation energy: 0.06 eV per atom
* ΔE to the lowest computed polymorph: 0.0 meV per atom
* raw total energy: -35.75 eV/f.u.
* symmetry: P6_3/m, No. 176
* V: 199.7 Å³/cell


[24]
This record from the Open Quantum Materials Database describes Zn3Tc after structural relaxation. The functional is GGA-PBE.

Unit cell a=5.389 b=5.389 c=4.438 alpha=90.00 beta=90.00 gamma=120.00
Atoms (fractional coordinates):
Zn  0.168  0.337  0.250
Zn  0.168  0.832  0.250
Zn  0.337  0.168  0.750
Zn  0.663  0.832  0.250
Zn  0.832  0.168  0.750
Zn  0.832  0.663  0.750
Tc  0.333  0.667  0.750
Tc  0.667  0.333  0.250

Calculated values
* formation energy: 0.03 eV per atom
* raw total energy: -14.05 eV/f.u.
* symmetry: P6_3/mmc, No. 194
* V: 111.6 Å³/cell


[25]
This record from the Open Quantum Materials Database describes Zr5Zn4Tc after structural relaxation. The functional is GGA-PBE.

Unit cell a=3.354 b=3.354 c=16.417 alpha=90.00 beta=90.00 gamma=90.00
Atoms (fractional coordinates):
Zr  0.000  0.000  0.000
Zr  0.000  0.000  0.202
Zr  0.000  0.000  0.405
Zr  0.000  0.000  0.595
Zr  0.000  0.000  0.798
Zn  0.500  0.500  0.100
Zn  0.500  0.500  0.302
Zn  0.500  0.500  0.698
Zn  0.500  0.500  0.900
Tc  0.500  0.500  0.500

Calculated values
* formation energy: -0.33 eV per atom
* raw total energy: -61.41 eV/f.u.
* symmetry: P4/mmm, No. 123
* V: 184.7 Å³/cell